Entry from Alexandria: a geometry-optimized HfRhPb structure (PBE-GGA).

a = 7.983 Å, b = 7.983 Å, c = 7.983 Å
α = 157.04°, β = 139.07°, γ = 47.45°
Sites, in units of the cell vectors:
Hf: 0.148 0.148 0.000
Hf: 0.852 0.852 0.000
Rh: 0.256 0.000 0.256
Rh: 0.744 0.000 0.744
Pb: 0.358 0.358 0.000
Pb: 0.642 0.642 0.000

DFT formation energy ... -10 meV/atom
Uncorrected energy ... -21.042 eV/f.u.
Crystal system ... orthorhombic